(1)
Here is a geometry-optimized PmThSc structure from Alexandria via LeMat-Bulk. Energies are from PBE.

Structure (POSCAR):
```
PmThSc
1.0
3.4823 0.2395 -0.5179
1.4949 3.1543 -0.5179
-2.6466 -1.8046 17.6684
Pm Th Sc
2 2 2
direct
0.8093 0.8093 0.6562
0.3265 0.3265 0.8465
0.3045 0.3045 0.4858
0.8313 0.8313 0.0169
0.3238 0.3238 0.1752
0.8119 0.8119 0.3276
```

ΔE to the lowest computed polymorph (eV per atom): 0.002
SG: C2/m, No. 12
Crystal system: monoclinic
Energy relative to the elements (meV/atom): 56.3


(2)
Here is a geometry-optimized NaSi2Ag2 structure from Alexandria via LeMat-Bulk. Energies are from PBE.

Structure (POSCAR):
```
NaSi2Ag2
1.0
8.1900 0.0000 0.0000
0.0000 8.1900 0.0000
0.0000 0.0000 2.7788
Na Si Ag
2 4 4
direct
0.0000 0.0000 0.0000
0.5000 0.5000 0.0000
0.3567 0.8567 0.0000
0.8567 0.6433 0.0000
0.6433 0.1433 0.0000
0.1433 0.3567 0.0000
0.1529 0.6529 0.5000
0.6529 0.8471 0.5000
0.8471 0.3471 0.5000
0.3471 0.1529 0.5000
```

ΔE to the lowest computed polymorph (eV per atom): 0.143
SG: P4/mbm, No. 127
Crystal system: tetragonal
Uncorrected formation energy (meV/atom): 206.9


(3)
Here is a geometry-optimized Ba2CaAs structure from Alexandria via LeMat-Bulk. Energies are from PBE.

Structure (POSCAR):
```
Ba2CaAs
1.0
-1.4720 -3.5262 2.4507
-0.8230 -2.7307 -4.4234
6.2571 -3.9166 -1.8772
As Ca Ba
1 1 2
direct
0.5000 0.5380 0.7990
0.0000 0.6703 0.5343
0.0000 0.9869 0.9013
0.5000 0.3047 0.2655
```

SG: Amm2, No. 38
Crystal system: orthorhombic
Energy relative to the elements (meV/atom): -597.0


| no. | M_tot (μB/atom) |
| --- | --- |
| 1 | 0.000 |
| 2 | 0.000 |
| 3 | 0.203 |